CrIr | PBEsol | optimized geometry

The calculated formation energy is 0.006 eV/atom. The total magnetization comes out at 0.0 μB per cell.

Cell: 2.6499 2.6499 8.5020 Å, 90.00 90.00 120.00°
Last column: nearest neighbours and their distance in Å.
Atoms (fractional coordinates):
1 Ir 0.6667 0.3333 0.6395  3 Cr 2.52, 6 Ir 2.65
2 Cr 0.3333 0.6667 0.8752  3 Ir 2.52, 9 Cr 2.62-2.65
3 Cr 0.6667 0.3333 0.1248  3 Ir 2.52, 9 Cr 2.62-2.65
4 Ir 0.3333 0.6667 0.3605  3 Cr 2.52, 6 Ir 2.65

---

CuIr2Pt | PBEsol | optimized geometry

The calculated formation energy is 0.055 eV/atom. The total magnetization comes out at 0.0 μB per cell.

Cell: 3.8135 3.8135 4.6289 Å, 114.33 114.33 90.00°
Last column: nearest neighbours and their distance in Å.
Atoms (fractional coordinates):
1 Ir 0.7500 0.2500 0.5000  4 Ir 2.68, 4 Pt 2.68, 4 Cu 2.70
2 Ir 0.0000 0.0000 0.0000  4 Cu 2.68, 4 Ir 2.68, 4 Pt 2.70
3 Cu 0.2500 0.7500 0.5000  8 Ir 2.68-2.70, 4 Pt 2.68
4 Pt 0.5000 0.5000 0.0000  4 Cu 2.68, 8 Ir 2.68-2.70

---

Zr3Sc2 | PBEsol | optimized geometry

The calculated formation energy is 0.040 eV/atom. The total magnetization comes out at 0.0 μB per cell.

Cell: 3.1580 3.1580 13.1069 Å, 83.08 83.08 60.00°
Last column: nearest neighbours and their distance in Å.
Atoms (fractional coordinates):
1 Zr 0.0000 0.0000 0.0000  6 Zr 3.16, 6 Sc 3.18
2 Sc 0.4002 0.4002 0.7993  6 Sc 3.16, 6 Zr 3.18-3.19
3 Zr 0.8008 0.8008 0.5975  9 Zr 3.12-3.16, 3 Sc 3.19
4 Sc 0.5998 0.5998 0.2007  6 Sc 3.16, 6 Zr 3.18-3.19
5 Zr 0.1992 0.1992 0.4025  9 Zr 3.12-3.16, 3 Sc 3.19

---

BeCo2As | PBEsol | optimized geometry

The calculated formation energy is 0.136 eV/atom. The total magnetization comes out at 1.6 μB per cell.

Cell: 3.9221 3.9221 3.9221 Å, 60.00 60.00 60.00°
Last column: nearest neighbours and their distance in Å.
Atoms (fractional coordinates):
1 Co 0.2500 0.2500 0.2500  4 As 2.40, 4 Co 2.40
2 As 0.5000 0.5000 0.5000  4 Be 2.40, 4 Co 2.40
3 Be 0.7500 0.7500 0.7500  4 As 2.40, 4 Co 2.40
4 Co 0.0000 0.0000 0.0000  4 Co 2.40, 4 Be 2.40